# CuAg

CuAg after structural relaxation (PBE, OQMD).

Output
The space group is Cm.

Geometry as extended XYZ:
```
10
Lattice="11.184 -1.415 0.000 11.184 1.415 0.000 -0.508 0.000 4.729" Properties=species:S:1:pos:R:3 pbc="T T T"
Cu 6.651 0.000 0.491
Cu -0.473 0.000 4.715
Cu 1.837 0.000 3.403
Ag 17.679 0.000 2.902
Ag 11.024 0.000 2.382
Cu 8.692 0.000 3.778
Ag 4.109 0.000 1.889
Cu 13.195 0.000 0.851
Ag 19.979 0.000 1.316
Ag 15.172 0.000 4.281
```

# CuAg2

CuAg2 after structural relaxation (PBE, OQMD).

Output
Its energy above the most stable polymorph in this dataset is 44 meV per atom. The space group is C2/m.

Geometry as extended XYZ:
```
9
Lattice="-4.704 4.346 -3.543 -4.508 2.114 -5.364 -4.996 -3.300 3.507" Properties=species:S:1:pos:R:3 pbc="T T T"
Cu -4.291 -1.435 1.297
Ag -10.508 2.804 -4.566
Cu -9.917 4.595 -6.697
Ag -10.961 1.011 -2.417
Ag -7.534 0.697 -1.664
Ag -3.247 2.149 -2.983
Ag -6.674 2.463 -3.736
Ag -3.700 0.356 -0.834
Cu 0.000 0.000 0.000
```

# Cu3Ag5

Cu3Ag5 after structural relaxation (PBE, OQMD).

Output
Its energy above the most stable polymorph in this dataset is 62 meV per atom. The space group is C2/m.

Geometry as extended XYZ:
```
8
Lattice="9.137 -1.412 0.000 9.137 1.412 0.000 -0.440 0.000 4.912" Properties=species:S:1:pos:R:3 pbc="T T T"
Ag 9.137 0.000 0.000
Cu -0.220 0.000 2.456
Ag 2.004 0.000 4.298
Ag 6.535 0.000 3.051
Ag 15.830 0.000 0.614
Cu 13.390 0.000 3.672
Ag 11.299 0.000 1.861
Cu 4.444 0.000 1.241
```

# Cu3Ag2

Cu3Ag2 after structural relaxation (PBE, OQMD).

Output
Its energy above the most stable polymorph in this dataset is 64 meV per atom. The space group is P2_1/m.

Geometry as extended XYZ:
```
10
Lattice="-2.626 -3.312 -2.034 2.086 -1.800 0.237 -2.956 -2.034 10.579" Properties=species:S:1:pos:R:3 pbc="T T T"
Cu 0.082 -3.048 0.338
Ag -1.218 -3.342 9.544
Cu -3.578 -4.098 8.444
Cu -2.895 -3.897 3.960
Cu -0.601 -3.249 4.821
Ag -1.919 -2.367 6.985
Ag -1.577 -4.778 1.796
Cu -2.206 -4.923 6.236
Ag -2.279 -3.803 -0.763
Cu -1.290 -2.222 2.545
```

# CuAg

CuAg after structural relaxation (PBE, OQMD).

Output
The space group is P2/m.

Geometry as extended XYZ:
```
10
Lattice="4.725 0.000 0.000 0.000 2.785 0.000 -1.210 0.000 11.206" Properties=species:S:1:pos:R:3 pbc="T T T"
Ag 4.070 0.000 2.211
Cu 0.936 0.000 4.395
Ag -0.555 0.000 8.995
Cu 0.000 1.392 0.000
Cu 1.652 1.392 2.296
Ag 2.362 0.000 0.000
Cu 1.863 1.392 8.910
Ag 3.222 1.392 4.549
Ag 0.293 1.392 6.657
Cu 2.578 0.000 6.812
```

# CuAg

CuAg after structural relaxation (PBE, OQMD).

Output
The space group is C2/m.

Geometry as extended XYZ:
```
10
Lattice="-6.870 -3.821 4.530 -4.894 -5.839 4.927 2.398 3.212 4.394" Properties=species:S:1:pos:R:3 pbc="T T T"
Cu -5.054 -3.133 9.236
Ag -8.504 -6.517 9.206
Cu -2.176 -1.697 2.203
Cu 0.000 0.000 0.000
Ag -0.862 0.069 4.645
Ag 1.199 1.606 2.197
Cu -4.312 -3.315 4.615
Ag -2.926 -1.506 6.912
Cu -7.190 -4.750 11.647
Ag -6.440 -4.942 6.939
```

no.,energy of formation from the pure elements (meV per atom)
1,104
2,75
3,99
4,106
5,99
6,91